Compound: LiY2SnO5
Source: Alexandria
Functional: PBE
Structure: relaxed

Cell: 6.5623 6.5623 6.1234 Å, 90.00 90.00 90.00°
Space group P4/mbm (No. 127)
One atom of each set of equivalent atoms:
Li 0.0000 0.0000 0.0000 (multiplicity 2)
Y 0.1771 0.3229 0.5000 (multiplicity 4)
Sn 0.0000 0.5000 0.0000 (multiplicity 2)
O 0.0000 0.0000 0.5000 (multiplicity 2)
O 0.1434 0.6434 0.2614 (multiplicity 8)

Computed properties:
Total magnetic moment ... 0.9 μB per formula unit
Raw total energy ... -127.887 eV/cell

=====

Compound: Li2YSnO
Source: Alexandria
Functional: PBE
Structure: relaxed

Cell: 4.4771 4.4771 4.4700 Å, 90.00 90.00 90.00°
Space group P4/mmm (No. 123)
One atom of each set of equivalent atoms:
Li 0.0000 0.5000 0.0000 (multiplicity 2)
Y 0.0000 0.0000 0.5000 (multiplicity 1)
Sn 0.5000 0.5000 0.5000 (multiplicity 1)
O 0.0000 0.0000 0.0000 (multiplicity 1)

Computed properties:
Total magnetic moment ... 0.0 μB per formula unit
Raw total energy ... -26.109 eV/cell

=====

Compound: Li2YSnO4
Source: Alexandria
Functional: PBE
Structure: relaxed

Cell: 4.4873 4.4873 10.0654 Å, 90.00 90.00 90.00°
Space group I-4m2 (No. 119)
One atom of each set of equivalent atoms:
Li 0.0000 0.0000 0.0000 (multiplicity 2)
Li 0.0000 0.5000 0.2500 (multiplicity 2)
Y 0.0000 0.5000 0.7500 (multiplicity 2)
Sn 0.0000 0.0000 0.5000 (multiplicity 2)
O 0.0000 0.0000 0.2680 (multiplicity 4)
O 0.0000 0.5000 0.5163 (multiplicity 4)

Computed properties:
Total magnetic moment ... 0.0 μB per formula unit
Raw total energy ... -103.205 eV/cell

=====

Compound: Li2ZnSn3O8
Source: Alexandria
Functional: PBE
Structure: relaxed

Cell: 18.4826 10.6605 10.0626 Å, 90.00 90.00 90.00°
Space group Cmc2_1 (No. 36)
One atom of each set of equivalent atoms:
Li 0.0000 0.0170 0.0000 (multiplicity 4)
Li 0.0000 0.1664 0.2234 (multiplicity 4)
Li 0.1779 0.4886 0.9971 (multiplicity 8)
Li 0.2492 0.4163 0.2224 (multiplicity 8)
Zn 0.0000 0.3328 0.9075 (multiplicity 4)
Zn 0.1672 0.1668 0.4121 (multiplicity 8)
Sn 0.0000 0.3290 0.5001 (multiplicity 4)
Sn 0.0864 0.4055 0.2200 (multiplicity 8)
Sn 0.0873 0.0715 0.7205 (multiplicity 8)
Sn 0.1687 0.1650 0.9996 (multiplicity 8)
Sn 0.1725 0.3331 0.7194 (multiplicity 8)
O 0.0000 0.0011 0.8180 (multiplicity 4)
O 0.0000 0.1578 0.6040 (multiplicity 4)
O 0.0000 0.3368 0.1095 (multiplicity 4)
O 0.0000 0.4825 0.3485 (multiplicity 4)
O 0.0773 0.2618 0.3599 (multiplicity 8)
O 0.0837 0.0829 0.1000 (multiplicity 8)
O 0.0847 0.4196 0.6059 (multiplicity 8)
O 0.0906 0.2405 0.8458 (multiplicity 8)
O 0.1643 0.3333 0.0990 (multiplicity 8)
O 0.1647 0.0138 0.8576 (multiplicity 8)
O 0.1651 0.1676 0.6135 (multiplicity 8)
O 0.1652 0.4992 0.8169 (multiplicity 8)
O 0.2407 0.2494 0.8578 (multiplicity 8)
O 0.2477 0.4164 0.5995 (multiplicity 8)

Computed properties:
Total magnetic moment ... 0.0 μB per formula unit
Raw total energy ... -972.361 eV/cell